one | Computed, not measured: a relaxed Cu2Si2Sn crystal at the PBE level of DFT.

Crystal system   tetragonal
Space group   I4/mmm

Lattice parameters (Å, degrees): 4.0608 4.0608 5.7827 69.44 69.44 90.00
With the nearest neighbours (Å) after each atom.
Fractional positions:
Si 0.3833 0.3833 0.2335  1 Si 2.34, 4 Cu 2.43
Si 0.6167 0.6167 0.7665  1 Si 2.34, 4 Cu 2.43
Sn 0.0000 0.0000 0.0000  8 Si 3.10, 8 Cu 3.23
Cu 0.7500 0.2500 0.5000  4 Si 2.43
Cu 0.2500 0.7500 0.5000  4 Si 2.43

=====

two | Computed, not measured: a relaxed Cu2Si2Sn crystal at the PBE level of DFT.

Crystal system   tetragonal
Space group   I4/mmm

Lattice parameters (Å, degrees): 3.7727 3.7727 6.2737 72.50 72.50 90.00
With the nearest neighbours (Å) after each atom.
Fractional positions:
Si 0.7500 0.2500 0.5000  4 Cu 2.46, 4 Si 2.67
Si 0.2500 0.7500 0.5000  4 Cu 2.46, 4 Si 2.67
Sn 0.0000 0.0000 0.0000  8 Cu 2.95
Cu 0.3888 0.3888 0.2224  4 Si 2.46, 1 Cu 2.53
Cu 0.6112 0.6112 0.7776  4 Si 2.46, 1 Cu 2.53

=====

three | Computed, not measured: a relaxed Cu2Si2Sn crystal at the PBE level of DFT.

Crystal system   tetragonal
Space group   P4/mbm

Lattice parameters (Å, degrees): 7.5965 7.5965 2.7821 90.00 90.00 90.00
With the nearest neighbours (Å) after each atom.
Fractional positions:
Si 0.1372 0.6372 0.5000  6 Cu 2.60-2.66, 2 Si 2.78
Si 0.6372 0.8628 0.5000  6 Cu 2.60-2.66, 2 Si 2.78
Si 0.8628 0.3628 0.5000  6 Cu 2.60-2.66, 2 Si 2.78
Si 0.3628 0.1372 0.5000  6 Cu 2.60-2.66, 2 Si 2.78
Sn 0.0000 0.0000 0.0000  2 Sn 2.78, 4 Cu 2.89
Sn 0.5000 0.5000 0.0000  2 Sn 2.78, 4 Cu 2.89
Cu 0.3487 0.8487 0.0000  6 Si 2.60-2.66, 2 Cu 2.78, 2 Sn 2.89
Cu 0.8487 0.6513 0.0000  6 Si 2.60-2.66, 2 Cu 2.78, 2 Sn 2.89
Cu 0.6513 0.1513 0.0000  6 Si 2.60-2.66, 2 Cu 2.78, 2 Sn 2.89
Cu 0.1513 0.3487 0.0000  6 Si 2.60-2.66, 2 Cu 2.78, 2 Sn 2.89

=====

Stability summary - winner: one; margin: 10 meV/atom.

=====

one | Computed, not measured: a relaxed Cu3SiSn crystal at the PBE level of DFT.

Crystal system   cubic
Space group   Pm-3m

Lattice parameters (Å, degrees): 4.7907 4.7907 4.7907 90.00 90.00 90.00
With the nearest neighbours (Å) after each atom.
Fractional positions:
Si 0.5000 0.5000 0.5000  12 Cu 3.39
Sn 0.0000 0.0000 0.0000  6 Cu 2.40
Cu 0.0000 0.5000 0.0000  2 Sn 2.40
Cu 0.0000 0.0000 0.5000  2 Sn 2.40
Cu 0.5000 0.0000 0.0000  2 Sn 2.40

=====

two | Computed, not measured: a relaxed Cu3SiSn crystal at the PBE level of DFT.

Crystal system   cubic
Space group   Pm-3m

Lattice parameters (Å, degrees): 4.4836 4.4836 4.4836 90.00 90.00 90.00
With the nearest neighbours (Å) after each atom.
Fractional positions:
Si 0.0000 0.0000 0.0000  6 Cu 2.24
Sn 0.5000 0.5000 0.5000  12 Cu 3.17
Cu 0.0000 0.5000 0.0000  2 Si 2.24
Cu 0.0000 0.0000 0.5000  2 Si 2.24
Cu 0.5000 0.0000 0.0000  2 Si 2.24

=====

Stability summary - winner: two; margin: 711 meV/atom.